No. 1
DFT (PBE-GGA) results for a relaxed structure of Sr2H2Cl.

Output
VASP energy ... -3.132 eV per atom
SG ... P4/mbm
Excess energy over the best structure of this formula in the dataset ... 176 meV/atom
Calculated density ... 3.68 Mg/m³
Calculated volume ... 192.2 Å³ per cell

Cell lengths 7.4527, 7.4527, 3.4608 Å; angles 90.00, 90.00, 90.00 degrees
With the nearest neighbours (Å) after each atom.
Positions (direct):
H1 0.1216 0.3784 0.0000  1 H 2.56, 6 Sr 2.79-2.81
H2 0.8784 0.6216 0.0000  1 H 2.56, 6 Sr 2.79-2.81
H3 0.3784 0.8784 0.0000  1 H 2.56, 6 Sr 2.79-2.81
H4 0.6216 0.1216 0.0000  1 H 2.56, 6 Sr 2.79-2.81
Cl1 0.5000 0.5000 0.0000  4 H 2.96, 8 Sr 3.26
Cl2 0.0000 0.0000 0.0000  4 H 2.96, 8 Sr 3.26
Sr1 0.1710 0.6710 0.5000  6 H 2.79-2.81
Sr2 0.8290 0.3290 0.5000  6 H 2.79-2.81
Sr3 0.3290 0.1710 0.5000  6 H 2.79-2.81
Sr4 0.6710 0.8290 0.5000  6 H 2.79-2.81

No. 2
DFT (PBE-GGA) results for a relaxed structure of SrHCl.

Output
VASP energy ... -3.542 eV per atom
SG ... I4mm
Calculated density ... 3.32 Mg/m³
Calculated volume ... 62.1 Å³ per cell

Cell lengths 3.5680, 3.5680, 5.4929 Å; angles 108.95, 108.95, 90.00 degrees
With the nearest neighbours (Å) after each atom.
Positions (direct):
H1 0.2842 0.2842 0.5683  4 Sr 2.64, 1 Cl 2.67
Sr1 0.7052 0.7052 0.4105  4 H 2.64
Cl1 0.0106 0.0106 0.0212  1 H 2.67, 1 Sr 2.98

No. 3
DFT (PBE-GGA) results for a relaxed structure of SrHCl3.

Output
VASP energy ... -2.884 eV per atom
SG ... Pm-3m
Excess energy over the best structure of this formula in the dataset ... 904 meV/atom
Calculated density ... 1.69 Mg/m³
Calculated volume ... 192.1 Å³ per cell

Cell lengths 5.7698, 5.7698, 5.7698 Å; angles 90.00, 90.00, 90.00 degrees
With the nearest neighbours (Å) after each atom.
Positions (direct):
Cl1 0.0000 0.5000 0.0000  2 Sr 2.88
Cl2 0.0000 0.0000 0.5000  2 Sr 2.88
Cl3 0.5000 0.0000 0.0000  2 Sr 2.88
Sr1 0.0000 0.0000 0.0000  6 Cl 2.88
H1 0.5000 0.5000 0.5000  12 Cl 4.08

No. 4
DFT (PBE-GGA) results for a relaxed structure of SrHCl.

Output
VASP energy ... -3.865 eV per atom
SG ... P4/nmm
Calculated density ... 3.45 Mg/m³
Calculated volume ... 119.3 Å³ per cell

Cell lengths 4.1202, 4.1202, 7.0293 Å; angles 90.00, 90.00, 90.00 degrees
With the nearest neighbours (Å) after each atom.
Positions (direct):
Sr1 0.0000 0.5000 0.2012  4 H 2.50
Sr2 0.5000 0.0000 0.7988  4 H 2.50
Cl1 0.5000 0.0000 0.3503  5 Sr 3.10-3.15, 4 H 3.21
Cl2 0.0000 0.5000 0.6497  5 Sr 3.10-3.15, 4 H 3.21
H1 0.5000 0.5000 0.0000  4 Sr 2.50
H2 0.0000 0.0000 0.0000  4 Sr 2.50

No. 5
DFT (PBE-GGA) results for a relaxed structure of SrH3Cl.

Output
VASP energy ... -2.422 eV per atom
SG ... Pm-3m
Excess energy over the best structure of this formula in the dataset ... 0 meV/atom
Calculated density ... 2.30 Mg/m³
Calculated volume ... 91.0 Å³ per cell

Cell lengths 4.4984, 4.4984, 4.4984 Å; angles 90.00, 90.00, 90.00 degrees
With the nearest neighbours (Å) after each atom.
Positions (direct):
H1 0.0000 0.0000 0.5000  2 Sr 2.25
H2 0.5000 0.0000 0.0000  2 Sr 2.25
H3 0.0000 0.5000 0.0000  2 Sr 2.25
Cl1 0.5000 0.5000 0.5000  12 H 3.18
Sr1 0.0000 0.0000 0.0000  6 H 2.25

No. 6
DFT (PBE-GGA) results for a relaxed structure of SrH4Cl3.

Output
VASP energy ... -3.392 eV per atom
SG ... C2/m
Calculated density ... 1.91 Mg/m³
Calculated volume ... 172.1 Å³ per cell

Cell lengths 4.0704, 5.1226, 9.9043 Å; angles 120.88, 101.86, 90.00 degrees
With the nearest neighbours (Å) after each atom.
Positions (direct):
Cl1 0.3795 0.8616 0.7589  1 Cl 2.85, 2 Sr 2.89, 2 H 3.17
Cl2 0.6205 0.1384 0.2411  1 Cl 2.85, 2 Sr 2.89, 2 H 3.17
Cl3 0.5000 0.5000 0.0000  2 Cl 2.85
H1 0.8219 0.1980 0.6439  1 H 0.75
H2 0.1781 0.8020 0.3561  1 H 0.75
H3 0.8066 0.3057 0.6132  1 H 0.75
H4 0.1934 0.6943 0.3868  1 H 0.75
Sr1 0.0000 0.0000 0.0000  4 Cl 2.89

No. 7
DFT (PBE-GGA) results for a relaxed structure of Sr2H3Cl.

Output
VASP energy ... -3.562 eV per atom
SG ... C2/m
Calculated density ... 3.40 Mg/m³
Calculated volume ... 312.8 Å³ per cell

Cell lengths 3.9667, 8.2630, 10.0317 Å; angles 101.18, 90.00, 103.89 degrees
With the nearest neighbours (Å) after each atom.
Positions (direct):
Sr1 0.8090 0.6180 0.8564  6 H 2.44-2.63
Sr2 0.4666 0.9331 0.2136  4 H 2.50-2.62
Sr3 0.6432 0.2863 0.4606  5 H 2.41-2.45
Sr4 0.3568 0.7137 0.5394  5 H 2.41-2.45
Sr5 0.1910 0.3820 0.1436  6 H 2.44-2.63
Sr6 0.5334 0.0669 0.7864  4 H 2.50-2.62
H1 0.2163 0.4326 0.3983  4 Sr 2.41-2.51, 1 H 2.64
H2 0.5000 0.0000 0.5000  2 Sr 2.41
H3 0.0491 0.0981 0.3198  4 Sr 2.50-2.71, 3 H 2.63-2.64
H4 0.9509 0.9019 0.6802  4 Sr 2.50-2.71, 3 H 2.63-2.64
H5 0.3251 0.6501 0.0296  4 Sr 2.62-2.63, 1 H 2.75
H6 0.7837 0.5674 0.6017  4 Sr 2.41-2.51, 1 H 2.64
H7 0.6227 0.2454 0.2152  4 Sr 2.42-2.50, 2 H 2.63
H8 0.3773 0.7546 0.7848  4 Sr 2.42-2.50, 2 H 2.63
H9 0.6749 0.3499 0.9704  4 Sr 2.62-2.63, 1 H 2.75
Cl1 0.8406 0.6812 0.2913  6 Sr 3.04-3.24, 5 H 3.15-3.30
Cl2 0.0000 0.0000 0.0000  6 Sr 3.04-3.11, 6 H 3.15-3.28
Cl3 0.1594 0.3188 0.7087  6 Sr 3.04-3.24, 5 H 3.15-3.30

No. 8
DFT (PBE-GGA) results for a relaxed structure of SrHCl.

Output
VASP energy ... -3.698 eV per atom
SG ... F-43m
Calculated density ... 2.82 Mg/m³
Calculated volume ... 72.9 Å³ per cell

Cell lengths 4.6901, 4.6901, 4.6901 Å; angles 60.00, 60.00, 60.00 degrees
With the nearest neighbours (Å) after each atom.
Positions (direct):
Sr1 0.2500 0.2500 0.2500  4 H 2.87, 4 Cl 2.87
H1 0.5000 0.5000 0.5000  4 Sr 2.87
Cl1 0.0000 0.0000 0.0000  4 Sr 2.87

What is the calculated density in the first record?
3.68 Mg/m³

calculated density of number 8 (SrHCl)?
2.82 Mg/m³

Repeat the fifth record exactly.
DFT (PBE-GGA) results for a relaxed structure of SrH3Cl.

Output
VASP energy ... -2.422 eV per atom
SG ... Pm-3m
Excess energy over the best structure of this formula in the dataset ... 0 meV/atom
Calculated density ... 2.30 Mg/m³
Calculated volume ... 91.0 Å³ per cell

Cell lengths 4.4984, 4.4984, 4.4984 Å; angles 90.00, 90.00, 90.00 degrees
With the nearest neighbours (Å) after each atom.
Positions (direct):
H1 0.0000 0.0000 0.5000  2 Sr 2.25
H2 0.5000 0.0000 0.0000  2 Sr 2.25
H3 0.0000 0.5000 0.0000  2 Sr 2.25
Cl1 0.5000 0.5000 0.5000  12 H 3.18
Sr1 0.0000 0.0000 0.0000  6 H 2.25

calculated volume of number 1 (Sr2H2Cl)?
192.2 Å³ per cell